# CrCo3Re

A relaxed CrCo3Re crystal (PBE-GGA, Alexandria).

## Properties
Its space group is Pm-3m. As for the total magnetization: 2.869 Bohr magnetons per cell. For the total energy, the calculation gives -7.24 eV/atom.

a = 4.0915 Å, b = 4.0915 Å, c = 4.0915 Å
α = 90.00°, β = 90.00°, γ = 90.00°
Last column: nearest neighbours and their distance in Å.
Element x y z (fractional)
Cr 0.0000 0.0000 0.0000  6 Co 2.05
Co 0.5000 0.0000 0.0000  2 Cr 2.05
Co 0.0000 0.5000 0.0000  2 Cr 2.05
Co 0.0000 0.0000 0.5000  2 Cr 2.05
Re 0.5000 0.5000 0.5000  12 Co 2.89